Entry 1:
The following is a PBE calculation of crystalline ZnCd2Tc at its relaxed geometry, from the Alexandria database.

ΔE_f = 0.364 eV/atom
Volume = 17.76 Å³ per atom
Calculated total energy = -3.004 eV per atom

Cell lengths 3.167, 4.747, 9.452 Å; angles 90.00, 90.00, 90.00 degrees
Space group Cmmm (No. 65)
Symmetry-distinct sites (fractional):
Zn: 0.000 0.000 0.000 x2
Cd: 0.000 0.500 0.251 x4
Tc: 0.000 0.000 0.500 x2

Entry 2:
The following is a PBE calculation of crystalline ZnCd2Tc at its relaxed geometry, from the Alexandria database.

ΔE_f = 0.260 eV/atom
Volume = 18.05 Å³ per atom
Calculated total energy = -3.108 eV per atom

Cell lengths 2.9008, 2.9008, 29.7272 Å; angles 90.00, 90.00, 120.00 degrees
Space group R3m (No. 160, hexagonal axes)
Symmetry-distinct sites (fractional):
Zn: 0.0000 0.0000 0.0000 x3
Cd: 0.0000 0.0000 0.2459 x3
Cd: 0.0000 0.0000 0.4838 x3
Tc: 0.0000 0.0000 0.7363 x3

Entry 3:
The following is a PBE calculation of crystalline ZnCd4Tc at its relaxed geometry, from the Alexandria database.

ΔE_f = 0.602 eV/atom
Volume = 20.47 Å³ per atom
Calculated total energy = -1.948 eV per atom

Cell lengths 7.890, 7.890, 7.890 Å; angles 90.00, 90.00, 90.00 degrees
Space group F-43m (No. 216)
Symmetry-distinct sites (fractional):
Zn: 0.000 0.000 0.000 x4
Cd: 0.125 0.125 0.625 x16
Tc: 0.250 0.250 0.250 x4

Entry 4:
The following is a PBE calculation of crystalline ZnCd3Tc at its relaxed geometry, from the Alexandria database.

ΔE_f = 1.009 eV/atom
Volume = 23.78 Å³ per atom
Calculated total energy = -1.868 eV per atom

Cell lengths 4.917, 4.917, 4.917 Å; angles 90.00, 90.00, 90.00 degrees
Space group Pm-3m (No. 221)
Symmetry-distinct sites (fractional):
Zn: 0.000 0.000 0.000 x1
Cd: 0.000 0.000 0.500 x3
Tc: 0.500 0.500 0.500 x1

Entry 5:
The following is a PBE calculation of crystalline ZnCd2Tc at its relaxed geometry, from the Alexandria database.

ΔE_f = 0.265 eV/atom
Volume = 17.57 Å³ per atom
Calculated total energy = -3.102 eV per atom

Cell lengths 4.339, 2.818, 11.494 Å; angles 90.00, 90.00, 90.00 degrees
Space group Amm2 (No. 38)
Symmetry-distinct sites (fractional):
Zn: 0.000 0.000 0.000 x2
Cd: 0.000 0.000 0.774 x2
Cd: 0.500 0.000 0.147 x2
Tc: 0.500 0.000 0.415 x2

Entry 6:
The following is a PBE calculation of crystalline ZnCd2Tc at its relaxed geometry, from the Alexandria database.

ΔE_f = 0.373 eV/atom
Volume = 17.59 Å³ per atom
Calculated total energy = -2.994 eV per atom

Cell lengths 4.128, 4.128, 8.256 Å; angles 90.00, 90.00, 90.00 degrees
Space group I-4m2 (No. 119)
Symmetry-distinct sites (fractional):
Zn: 0.000 0.000 0.000 x2
Cd: 0.000 0.000 0.500 x2
Cd: 0.000 0.500 0.750 x2
Tc: 0.000 0.500 0.250 x2

Entry 7:
The following is a PBE calculation of crystalline ZnCdTc3 at its relaxed geometry, from the Alexandria database.

ΔE_f = 1.596 eV/atom
Volume = 18.93 Å³ per atom
Calculated total energy = -5.062 eV per atom

Cell lengths 4.557, 4.557, 4.557 Å; angles 90.00, 90.00, 90.00 degrees
Space group Pm-3m (No. 221)
Symmetry-distinct sites (fractional):
Zn: 0.000 0.000 0.000 x1
Cd: 0.500 0.500 0.500 x1
Tc: 0.000 0.000 0.500 x3

Entry 8:
The following is a PBE calculation of crystalline ZnCdTc2 at its relaxed geometry, from the Alexandria database.

ΔE_f = 0.575 eV/atom
Volume = 17.54 Å³ per atom
Calculated total energy = -5.155 eV per atom

Cell lengths 3.788, 3.788, 19.557 Å; angles 90.00, 90.00, 90.00 degrees
Space group I-42d (No. 122)
Symmetry-distinct sites (fractional):
Zn: 0.000 0.000 0.000 x4
Cd: 0.000 0.000 0.500 x4
Tc: 0.192 0.250 0.125 x8

Entry 9:
The following is a PBE calculation of crystalline ZnCdTc2 at its relaxed geometry, from the Alexandria database.

ΔE_f = 0.448 eV/atom
Volume = 15.86 Å³ per atom
Calculated total energy = -5.282 eV per atom

Cell lengths 5.287, 8.817, 2.722 Å; angles 90.00, 90.00, 90.00 degrees
Space group Cmmm (No. 65)
Symmetry-distinct sites (fractional):
Zn: 0.000 0.000 0.000 x2
Cd: 0.000 0.500 0.000 x2
Tc: 0.250 0.250 0.500 x4

Entry 10:
The following is a PBE calculation of crystalline ZnCd2Tc at its relaxed geometry, from the Alexandria database.

ΔE_f = 0.231 eV/atom
Volume = 17.34 Å³ per atom
Calculated total energy = -3.136 eV per atom

Cell lengths 4.068, 4.068, 4.191 Å; angles 90.00, 90.00, 90.00 degrees
Space group P4/mmm (No. 123)
Symmetry-distinct sites (fractional):
Zn: 0.000 0.000 0.000 x1
Cd: 0.000 0.500 0.500 x2
Tc: 0.500 0.500 0.000 x1

Entry 11:
The following is a PBE calculation of crystalline ZnCdTc2 at its relaxed geometry, from the Alexandria database.

ΔE_f = 0.061 eV/atom
Volume = 16.23 Å³ per atom
Calculated total energy = -5.669 eV per atom

Cell lengths 2.990, 2.990, 7.263 Å; angles 90.00, 90.00, 90.00 degrees
Space group P4mm (No. 99)
Symmetry-distinct sites (fractional):
Zn: 0.000 0.000 0.000 x1
Cd: 0.500 0.500 0.279 x1
Tc: 0.000 0.000 0.566 x1
Tc: 0.500 0.500 0.765 x1

Entry 12:
The following is a PBE calculation of crystalline Zn3CdTc at its relaxed geometry, from the Alexandria database.

ΔE_f = 0.733 eV/atom
Volume = 22.83 Å³ per atom
Calculated total energy = -2.288 eV per atom

Cell lengths 4.851, 4.851, 4.851 Å; angles 90.00, 90.00, 90.00 degrees
Space group Pm-3m (No. 221)
Symmetry-distinct sites (fractional):
Zn: 0.000 0.000 0.500 x3
Cd: 0.500 0.500 0.500 x1
Tc: 0.000 0.000 0.000 x1

Entry 13:
The following is a PBE calculation of crystalline ZnCd2Tc at its relaxed geometry, from the Alexandria database.

ΔE_f = 0.349 eV/atom
Volume = 17.53 Å³ per atom
Calculated total energy = -3.018 eV per atom

Cell lengths 3.933, 3.933, 9.068 Å; angles 90.00, 90.00, 90.00 degrees
Space group I4/mmm (No. 139)
Symmetry-distinct sites (fractional):
Zn: 0.000 0.000 0.000 x2
Cd: 0.000 0.500 0.250 x4
Tc: 0.000 0.000 0.500 x2

Entry 14:
The following is a PBE calculation of crystalline ZnCd2Tc at its relaxed geometry, from the Alexandria database.

ΔE_f = 0.354 eV/atom
Volume = 17.44 Å³ per atom
Calculated total energy = -3.014 eV per atom

Cell lengths 3.221, 4.566, 9.488 Å; angles 90.00, 90.00, 90.00 degrees
Space group Immm (No. 71)
Symmetry-distinct sites (fractional):
Zn: 0.000 0.000 0.000 x2
Cd: 0.000 0.500 0.257 x4
Tc: 0.000 0.000 0.500 x2

Entry 15:
The following is a PBE calculation of crystalline ZnCdTc3 at its relaxed geometry, from the Alexandria database.

ΔE_f = 2.488 eV/atom
Volume = 25.22 Å³ per atom
Calculated total energy = -4.169 eV per atom

Cell lengths 5.014, 5.014, 5.014 Å; angles 90.00, 90.00, 90.00 degrees
Space group Pm-3m (No. 221)
Symmetry-distinct sites (fractional):
Zn: 0.000 0.000 0.000 x1
Cd: 0.500 0.500 0.500 x1
Tc: 0.000 0.500 0.500 x3

Entry 16:
The following is a PBE calculation of crystalline ZnCdTc2 at its relaxed geometry, from the Alexandria database.

ΔE_f = 0.354 eV/atom
Volume = 15.74 Å³ per atom
Calculated total energy = -5.376 eV per atom

Cell lengths 3.145, 4.345, 9.212 Å; angles 90.00, 90.00, 90.00 degrees
Space group Immm (No. 71)
Symmetry-distinct sites (fractional):
Zn: 0.000 0.000 0.000 x2
Cd: 0.000 0.000 0.500 x2
Tc: 0.000 0.500 0.260 x4

Entry 17:
The following is a PBE calculation of crystalline ZnCdTc2 at its relaxed geometry, from the Alexandria database.

ΔE_f = 0.412 eV/atom
Volume = 15.77 Å³ per atom
Calculated total energy = -5.318 eV per atom

Cell lengths 2.688, 2.688, 8.730 Å; angles 90.00, 90.00, 90.00 degrees
Space group P4/mmm (No. 123)
Symmetry-distinct sites (fractional):
Zn: 0.000 0.000 0.000 x1
Cd: 0.000 0.000 0.500 x1
Tc: 0.500 0.500 0.233 x2

Entry 18:
The following is a PBE calculation of crystalline ZnCd2Tc at its relaxed geometry, from the Alexandria database.

ΔE_f = 0.294 eV/atom
Volume = 17.65 Å³ per atom
Calculated total energy = -3.074 eV per atom

Cell lengths 9.613, 2.830, 5.267 Å; angles 90.00, 99.86, 90.00 degrees
Space group Cm (No. 8)
Symmetry-distinct sites (fractional):
Zn: 0.000 0.000 0.000 x2
Cd: 0.247 0.000 0.724 x2
Cd: 0.486 0.000 0.456 x2
Tc: 0.235 0.500 0.206 x2

Entry 19:
The following is a PBE calculation of crystalline Zn4CdTc2 at its relaxed geometry, from the Alexandria database.

ΔE_f = 0.970 eV/atom
Volume = 21.95 Å³ per atom
Calculated total energy = -2.851 eV per atom

Cell lengths 4.884, 4.884, 12.883 Å; angles 90.00, 90.00, 90.00 degrees
Space group I4/mmm (No. 139)
Symmetry-distinct sites (fractional):
Zn: 0.000 0.000 0.208 x4
Zn: 0.000 0.500 0.000 x4
Cd: 0.000 0.000 0.000 x2
Tc: 0.000 0.000 0.413 x4

Entry 20:
The following is a PBE calculation of crystalline ZnCdTc4 at its relaxed geometry, from the Alexandria database.

ΔE_f = 0.458 eV/atom
Volume = 16.42 Å³ per atom
Calculated total energy = -6.818 eV per atom

Cell lengths 7.331, 7.331, 7.331 Å; angles 90.00, 90.00, 90.00 degrees
Space group F-43m (No. 216)
Symmetry-distinct sites (fractional):
Zn: 0.000 0.000 0.000 x4
Cd: 0.250 0.250 0.750 x4
Tc: 0.125 0.125 0.375 x16